An optimized crystal structure of Tb3Pr2In3. Source: the Alexandria database, functional PBE-GGA.

Summary:
E: -0.3168 Ry/atom

Cell and atoms, written as CIF:
```
data_Tb3Pr2In3
_chemical_formula_sum 'Tb6 Pr4 In6'
_cell_length_a 4.5403
_cell_length_b 4.9435
_cell_length_c 20.6237
_cell_angle_alpha 90.00
_cell_angle_beta 90.00
_cell_angle_gamma 90.00
_symmetry_space_group_name_H-M 'I m m m'
_symmetry_Int_Tables_number 71
_symmetry_space_group_name_Hall '-I 2 2'
loop_
_atom_site_label
_atom_site_fract_x
_atom_site_fract_y
_atom_site_fract_z
Tb1 0.0000 0.0000 0.0000
Tb2 0.0000 0.5000 0.1166
Pr1 0.0000 0.0000 0.2384
In1 0.0000 0.0000 0.5000
In2 0.0000 0.5000 0.3791
```